[1]
VASP calculation (PBE) on crystalline KPmPO4 at its relaxed geometry.

Cell and atoms, written as POSCAR:
```
KPmPO4
1.0
6.300 0.000 0.000
3.150 5.761 -0.013
3.150 1.742 5.492
K Pm P O
2 2 2 8
direct
0.500 0.000 0.500
0.000 0.000 0.500
0.000 0.000 0.000
0.000 0.500 0.500
0.642 0.608 0.108
0.358 0.392 0.892
0.738 0.699 0.825
0.262 0.675 0.801
0.738 0.325 0.199
0.262 0.301 0.175
0.338 0.708 0.208
0.746 0.708 0.208
0.254 0.292 0.792
0.662 0.292 0.792
```

The value obtained for the density of states at the Fermi level is 0.88 states/eV/cell. As for the uncorrected formation energy: -2328 meV per atom. For the raw total energy, the calculation gives -94.771 eV per cell.

[2]
VASP calculation (PBE) on crystalline KPrP2O8 at its relaxed geometry.

Cell and atoms, written as POSCAR:
```
KPrP2O8
1.0
6.134 0.004 0.000
-2.717 5.499 0.000
-1.708 -2.751 5.209
K Pr P O
1 1 2 8
direct
0.250 0.750 0.500
0.000 0.000 0.000
0.750 0.250 0.500
0.500 0.500 0.000
0.441 0.115 0.326
0.351 0.514 0.164
0.351 0.187 0.836
0.789 0.115 0.674
0.813 0.649 0.164
0.885 0.211 0.326
0.885 0.559 0.674
0.486 0.649 0.836
```

The value obtained for the density of states at the Fermi level is 9.03 states/eV/cell. As for the uncorrected formation energy: -2220 meV per atom. For the raw total energy, the calculation gives -83.004 eV per cell.

[3]
VASP calculation (PBE) on crystalline KPrP2O6 at its relaxed geometry.

Cell and atoms, written as POSCAR:
```
KPrP2O6
1.0
6.597 -0.977 -0.557
-1.777 6.428 -0.557
-2.155 -2.438 8.109
K Pr P O
2 2 4 12
direct
0.123 0.877 0.250
0.877 0.123 0.750
0.536 0.464 0.250
0.464 0.536 0.750
0.319 0.014 0.768
0.986 0.681 0.732
0.681 0.986 0.232
0.014 0.319 0.268
0.923 0.498 0.293
0.502 0.077 0.207
0.077 0.502 0.707
0.498 0.923 0.793
0.079 0.281 0.109
0.719 0.921 0.391
0.921 0.719 0.891
0.281 0.079 0.609
0.252 0.399 0.428
0.601 0.748 0.072
0.748 0.601 0.572
0.399 0.252 0.928
```

The value obtained for the density of states at the Fermi level is 0.00 states/eV/cell. As for the uncorrected formation energy: -2509 meV per atom. For the raw total energy, the calculation gives -143.063 eV per cell.

[4]
VASP calculation (PBE) on crystalline KPrPO4 at its relaxed geometry.

Cell and atoms, written as POSCAR:
```
KPrPO4
1.0
-3.304 -4.827 2.459
0.813 -6.044 -2.586
3.197 -4.483 3.682
K Pr P O
2 2 2 8
direct
0.500 0.000 0.500
0.000 0.000 0.500
0.000 0.000 0.000
0.000 0.500 0.500
0.641 0.609 0.109
0.359 0.391 0.891
0.735 0.700 0.829
0.265 0.671 0.800
0.735 0.329 0.200
0.265 0.300 0.171
0.339 0.709 0.209
0.743 0.709 0.209
0.257 0.291 0.791
0.661 0.291 0.791
```

The value obtained for the density of states at the Fermi level is 0.91 states/eV/cell. As for the uncorrected formation energy: -2324 meV per atom. For the raw total energy, the calculation gives -94.773 eV per cell.

[5]
VASP calculation (PBE) on crystalline KP2PtO at its relaxed geometry.

Cell and atoms, written as POSCAR:
```
KP2PtO
1.0
-4.481 0.029 1.069
0.289 -4.401 1.332
1.073 1.421 4.462
P K O Pt
2 1 1 1
direct
0.000 0.500 0.000
0.500 0.000 0.000
0.500 0.500 0.500
0.000 0.000 0.500
0.000 0.000 0.000
```

The value obtained for the density of states at the Fermi level is 2.42 states/eV/cell. As for the uncorrected formation energy: 249 meV per atom. For the raw total energy, the calculation gives -21.669 eV per cell.

[6]
VASP calculation (PBE) on crystalline KP2PtO at its relaxed geometry.

Cell and atoms, written as POSCAR:
```
KP2PtO
1.0
5.124 0.000 0.000
0.000 5.124 0.000
0.000 0.000 3.900
P K O Pt
2 1 1 1
direct
0.000 0.500 0.000
0.500 0.000 0.000
0.000 0.000 0.000
0.000 0.000 0.500
0.500 0.500 0.500
```

The value obtained for the density of states at the Fermi level is 4.22 states/eV/cell. As for the uncorrected formation energy: 1916 meV per atom. For the raw total energy, the calculation gives -13.335 eV per cell.

[7]
VASP calculation (PBE) on crystalline KPu2PO8 at its relaxed geometry.

Cell and atoms, written as POSCAR:
```
KPu2PO8
1.0
-3.322 -3.255 -2.145
0.474 -3.901 3.280
-5.358 1.902 3.977
K Pu P O
1 2 1 8
direct
0.000 0.000 0.500
0.486 0.486 0.763
0.514 0.514 0.237
0.000 0.000 0.000
0.156 0.814 0.169
0.678 0.679 0.009
0.815 0.157 0.168
0.844 0.186 0.831
0.322 0.321 0.991
0.185 0.843 0.832
0.656 0.657 0.537
0.344 0.343 0.463
```

The value obtained for the density of states at the Fermi level is 8.86 states/eV/cell. As for the uncorrected formation energy: -2208 meV per atom. For the raw total energy, the calculation gives -101.327 eV per cell.

[8]
VASP calculation (PBE) on crystalline KPuPO5 at its relaxed geometry.

Cell and atoms, written as POSCAR:
```
KPuPO5
1.0
-2.593 4.265 3.395
-2.560 -5.203 1.677
7.355 -0.463 2.692
K Pu P O
2 2 2 10
direct
0.338 0.662 0.250
0.662 0.338 0.750
0.000 0.000 0.500
0.000 0.000 0.000
0.685 0.315 0.250
0.315 0.685 0.750
0.069 0.931 0.250
0.931 0.069 0.750
0.860 0.303 0.133
0.140 0.697 0.867
0.697 0.140 0.367
0.303 0.860 0.633
0.760 0.583 0.384
0.240 0.417 0.616
0.417 0.240 0.116
0.583 0.760 0.884
```

The value obtained for the density of states at the Fermi level is 8.48 states/eV/cell. As for the uncorrected formation energy: -2580 meV per atom. For the raw total energy, the calculation gives -132.533 eV per cell.

[9]
VASP calculation (PBE) on crystalline K2RbP2O6 at its relaxed geometry.

Cell and atoms, written as POSCAR:
```
K2RbP2O6
1.0
6.622 0.000 0.000
-3.311 5.147 0.050
0.000 -2.884 6.157
K Rb P O
2 1 2 6
direct
0.686 0.372 0.132
0.314 0.628 0.868
0.500 0.000 0.500
0.974 0.947 0.683
0.026 0.053 0.317
0.812 0.624 0.574
0.143 0.900 0.206
0.244 0.100 0.794
0.857 0.100 0.794
0.756 0.900 0.206
0.188 0.376 0.426
```

The value obtained for the density of states at the Fermi level is 0.46 states/eV/cell. As for the uncorrected formation energy: -1993 meV per atom. For the raw total energy, the calculation gives -65.655 eV per cell.

[10]
VASP calculation (PBE) on crystalline KRb2P2O6 at its relaxed geometry.

Cell and atoms, written as POSCAR:
```
KRb2P2O6
1.0
-3.097 -3.191 4.304
5.921 -1.639 -1.403
-1.021 6.126 3.807
K Rb P O
1 2 2 6
direct
0.500 0.000 0.500
0.710 0.420 0.190
0.290 0.580 0.810
0.963 0.926 0.809
0.037 0.074 0.191
0.799 0.599 0.690
0.175 0.932 0.199
0.243 0.068 0.801
0.825 0.068 0.801
0.757 0.932 0.199
0.201 0.401 0.310
```

As for the uncorrected formation energy: -2077 meV per atom. For the raw total energy, the calculation gives -66.452 eV per cell.

[11]
VASP calculation (PBE) on crystalline K2Rb2PO4 at its relaxed geometry.

Cell and atoms, written as POSCAR:
```
K2Rb2PO4
1.0
-3.662 4.596 -1.825
2.559 -3.636 -4.254
-2.492 -4.817 2.908
K Rb P O
2 2 1 4
direct
0.000 0.657 0.657
0.000 0.343 0.343
0.500 0.750 0.250
0.500 0.250 0.750
0.000 0.000 0.000
0.000 0.806 0.194
0.613 0.806 0.806
0.000 0.194 0.806
0.387 0.194 0.194
```

The value obtained for the density of states at the Fermi level is 2.07 states/eV/cell. As for the uncorrected formation energy: -1144 meV per atom. For the raw total energy, the calculation gives -39.666 eV per cell.

[12]
VASP calculation (PBE) on crystalline K7RbTi8P8O40 at its relaxed geometry.

Cell and atoms, written as POSCAR:
```
K7RbTi8P8O40
1.0
6.496 -0.001 0.006
0.003 10.701 0.000
0.032 0.002 13.010
K Rb Ti P O
7 1 8 8 40
direct
0.199 0.566 0.394
0.300 0.566 0.894
0.699 0.065 0.106
0.722 0.311 0.877
0.279 0.810 0.123
0.222 0.809 0.626
0.777 0.310 0.374
0.817 0.071 0.604
0.239 0.255 0.747
0.762 0.755 0.254
0.736 0.755 0.754
0.263 0.255 0.246
0.002 0.003 0.872
0.999 0.504 0.129
0.503 0.504 0.629
0.496 0.003 0.370
0.162 0.262 0.999
0.839 0.761 0.001
0.660 0.761 0.501
0.337 0.262 0.499
0.998 0.512 0.681
0.000 0.012 0.317
0.498 0.012 0.821
0.502 0.513 0.180
0.302 0.241 0.095
0.699 0.739 0.905
0.801 0.741 0.405
0.200 0.241 0.596
0.013 0.151 0.987
0.988 0.651 0.014
0.513 0.650 0.514
0.483 0.150 0.484
0.962 0.629 0.751
0.038 0.129 0.247
0.462 0.129 0.750
0.538 0.628 0.252
0.038 0.400 0.753
0.961 0.899 0.245
0.538 0.899 0.749
0.461 0.399 0.252
0.189 0.540 0.612
0.809 0.041 0.384
0.688 0.041 0.889
0.313 0.541 0.112
0.042 0.143 0.780
0.962 0.642 0.223
0.538 0.642 0.723
0.460 0.142 0.276
0.032 0.384 0.012
0.967 0.883 0.989
0.530 0.883 0.488
0.469 0.383 0.512
0.301 0.283 0.903
0.699 0.780 0.098
0.798 0.782 0.597
0.198 0.283 0.403
0.808 0.486 0.613
0.189 0.986 0.386
0.308 0.986 0.889
0.693 0.486 0.113
0.954 0.890 0.776
0.046 0.390 0.224
0.455 0.390 0.725
0.545 0.889 0.275
```

The value obtained for the density of states at the Fermi level is 0.00 states/eV/cell. As for the uncorrected formation energy: -2615 meV per atom. For the raw total energy, the calculation gives -480.769 eV per cell.